K3Na2VF9: optimized geometry, PBE with a Hubbard U.

Geometry as CIF:
```
data_K3Na2VF9
_chemical_formula_sum 'K3 Na2 V1 F9'
_cell_length_a 6.1048
_cell_length_b 6.1048
_cell_length_c 7.5013
_cell_angle_alpha 90.00
_cell_angle_beta 90.00
_cell_angle_gamma 120.00
_space_group_name_H-M_alt 'P -3 m 1'
_space_group_IT_number 164
_space_group_name_Hall '-P 3 2"'
loop_
_atom_site_label
_atom_site_fract_x
_atom_site_fract_y
_atom_site_fract_z
_atom_site_occupancy
K1 0.0000 0.0000 0.0000 1
K2 0.3333 0.6667 0.7436 1
Na1 0.3333 0.6667 0.1746 1
V1 0.0000 0.0000 0.5000 1
F1 0.0000 0.5000 0.0000 1
F2 0.1471 0.2942 0.3580 1
```

Computed properties:
crystal system = trigonal
E_tot = -4.80 eV/atom